one:
Compound: Na6Ti2O7
Source: the Alexandria database
Functional: SCAN
Structure: single point on PBEsol structure

Cell and atoms, written as extended XYZ:
```
30
Lattice="8.857 0.000 0.000 0.000 5.233 0.000 -4.700 0.000 9.146" Properties=species:S:1:pos:R:3 pbc="T T T"
Na -0.133 1.043 1.397
Na -2.483 4.190 5.970
Na 0.055 1.211 5.674
Na 2.405 4.022 1.101
Na 2.081 1.190 3.338
Na -0.269 4.043 7.910
Na 4.426 1.190 1.235
Na 2.076 4.043 5.808
Na 1.752 1.211 8.045
Na 4.102 4.022 3.472
Na 6.640 1.043 3.176
Na 4.289 4.190 7.748
Ti -2.329 1.589 8.182
Ti 0.021 3.644 3.609
Ti 4.136 1.589 5.536
Ti 6.486 3.644 0.964
O -3.525 0.883 6.859
O -1.175 4.350 2.286
O -0.129 1.860 3.539
O -2.479 3.373 8.111
O 2.033 1.110 0.761
O -0.317 4.123 5.334
O -0.599 1.202 7.856
O 1.752 4.031 3.283
O 2.405 1.202 5.862
O 4.755 4.031 1.290
O 4.474 1.110 3.812
O 2.124 4.123 8.384
O 6.636 1.860 1.034
O 4.286 3.373 5.607
```

Properties
**Theoretical density**: 2.71 g cm⁻³
**Crystal system**: monoclinic

two:
Compound: Na6Ti2O7
Source: the Alexandria database
Functional: SCAN
Structure: single point on PBEsol structure

Cell and atoms, written as extended XYZ:
```
45
Lattice="6.783 -4.991 0.000 6.783 4.991 0.000 -3.186 0.000 10.386" Properties=species:S:1:pos:R:3 pbc="T T T"
Na -0.547 1.554 9.033
Na 4.216 3.397 6.319
Na 2.733 1.532 3.892
Na 6.163 3.397 4.066
Na 2.748 1.645 9.166
Na -0.547 -1.554 9.033
Na 7.632 1.645 1.219
Na 2.733 -1.532 3.892
Na 4.034 0.000 6.544
Na 6.345 0.000 3.842
Na 7.646 1.532 6.494
Na 2.748 -1.645 9.166
Na 10.926 1.554 1.353
Na 7.632 -1.645 1.219
Na 4.216 -3.397 6.319
Na 7.646 -1.532 6.494
Na 6.163 -3.397 4.066
Na 10.926 -1.554 1.353
Ti 1.127 0.000 1.457
Ti 0.717 0.000 6.631
Ti 4.462 0.000 1.392
Ti 5.917 0.000 8.993
Ti 9.662 0.000 3.755
Ti 9.253 0.000 8.929
O 0.000 0.000 0.000
O 2.668 3.532 7.917
O 3.925 3.496 4.019
O 2.756 0.000 0.555
O 5.344 1.510 0.969
O 6.454 3.496 6.367
O 7.711 3.532 2.468
O 1.254 0.000 8.370
O 2.145 0.000 5.513
O 4.270 0.000 3.190
O 5.035 1.510 9.416
O 5.344 -1.510 0.969
O 6.110 0.000 7.196
O 8.235 0.000 4.873
O 9.125 0.000 2.016
O 2.668 -3.532 7.917
O 3.925 -3.496 4.019
O 5.035 -1.510 9.416
O 7.623 0.000 9.831
O 6.454 -3.496 6.367
O 7.711 -3.532 2.468
```

Properties
**Theoretical density**: 2.45 g cm⁻³
**Crystal system**: monoclinic

three:
Compound: Na6Ti2O7
Source: the Alexandria database
Functional: SCAN
Structure: single point on PBEsol structure

Cell and atoms, written as extended XYZ:
```
30
Lattice="5.922 0.000 0.000 0.000 8.544 0.000 -5.882 0.000 8.997" Properties=species:S:1:pos:R:3 pbc="T T T"
Na 0.000 0.537 0.000
Na -2.941 8.007 4.499
Na -4.230 3.727 8.209
Na -1.289 4.817 3.711
Na -0.654 1.823 3.850
Na -3.595 6.720 8.349
Na -1.261 3.557 6.481
Na 1.680 4.987 1.982
Na 2.954 0.720 1.725
Na 0.013 7.824 6.224
Na 2.346 2.453 4.357
Na -0.595 6.090 8.855
Ti -2.557 0.800 7.336
Ti 0.384 7.744 2.838
Ti 4.249 3.469 0.874
Ti 1.308 5.075 5.373
O -4.306 0.420 7.383
O -1.365 8.124 2.884
O 0.076 3.843 0.825
O -2.865 4.701 5.324
O -2.005 1.287 5.690
O 0.936 7.257 1.192
O 1.310 0.647 3.355
O -1.631 7.897 7.853
O -2.099 2.130 8.610
O 0.842 6.414 4.112
O 0.383 3.629 4.848
O 3.324 4.915 0.350
O 3.695 2.995 2.523
O 0.754 5.549 7.022
```

Properties
**Theoretical density**: 2.52 g cm⁻³
**Crystal system**: monoclinic

four:
Compound: Na6Ti2O7
Source: the Alexandria database
Functional: SCAN
Structure: single point on PBEsol structure

Cell and atoms, written as extended XYZ:
```
30
Lattice="4.110 -4.293 0.000 4.110 4.293 0.000 -3.170 0.000 11.729" Properties=species:S:1:pos:R:3 pbc="T T T"
Na 0.000 0.000 0.000
Na -1.585 0.000 5.864
Na -0.680 1.916 10.191
Na 1.732 3.778 8.797
Na 2.025 1.256 4.845
Na 4.610 1.256 1.019
Na 0.905 -1.916 4.327
Na 4.145 1.916 7.402
Na 0.440 -1.256 10.709
Na 3.025 -1.256 6.884
Na 3.317 -3.778 2.932
Na 5.730 -1.916 1.538
Ti 0.834 0.700 7.491
Ti 2.419 -0.700 1.627
Ti 2.631 0.700 10.102
Ti 4.216 -0.700 4.238
O -0.865 1.032 8.002
O 1.772 2.192 7.086
O 2.382 0.440 0.225
O 0.720 -1.032 2.138
O 1.693 2.192 10.507
O 0.797 -0.440 6.089
O 3.317 0.323 2.932
O 1.732 -0.323 8.797
O 4.253 0.440 5.640
O 3.357 -2.192 1.221
O 4.330 1.032 9.591
O 2.668 -0.440 11.504
O 3.278 -2.192 4.643
O 5.915 -1.032 3.727
```

Properties
**Theoretical density**: 2.77 g cm⁻³
**Crystal system**: monoclinic

Least stable: two

one:
Compound: Na4Ti5O12
Source: the Alexandria database
Functional: SCAN
Structure: single point on PBEsol structure

Cell and atoms, written as extended XYZ:
```
42
Lattice="5.887 0.000 0.000 -0.002 6.365 0.000 -1.469 -1.333 13.099" Properties=species:S:1:pos:R:3 pbc="T T T"
Na 0.742 2.380 1.479
Na 0.738 3.859 3.958
Na 0.737 1.784 8.121
Na 0.738 2.584 11.464
Na 3.679 2.448 1.636
Na 3.680 3.247 4.978
Na 3.679 1.173 9.141
Na 3.674 2.652 11.621
Ti -0.744 4.426 9.025
Ti 0.741 5.611 1.107
Ti 0.735 5.585 6.456
Ti 0.745 -0.585 11.941
Ti 2.200 0.603 4.076
Ti 2.217 4.428 9.024
Ti 3.671 5.617 1.158
Ti 3.681 -0.553 6.644
Ti 3.675 -0.579 11.992
Ti 5.161 0.605 4.074
O -0.741 0.001 7.674
O -0.746 2.836 9.693
O -0.739 0.631 11.930
O -0.735 4.388 12.253
O 0.736 -0.281 3.023
O 0.737 0.887 5.377
O 0.736 4.112 7.744
O 0.736 5.277 10.084
O 2.209 0.635 0.835
O 2.200 4.398 1.195
O 2.198 2.194 3.408
O 2.201 5.032 5.425
O 2.215 0.000 7.674
O 2.218 2.838 9.692
O 2.217 0.634 11.904
O 2.208 4.397 12.264
O 3.681 -0.246 3.015
O 3.681 0.919 5.356
O 3.680 4.145 7.722
O 3.681 5.313 10.076
O 5.151 0.644 0.846
O 5.156 4.401 1.169
O 5.163 2.196 3.407
O 5.157 5.031 5.426
```

Properties
**Theoretical density**: 3.54 g cm⁻³
**Crystal system**: triclinic

two:
Compound: Na4Ti5O12
Source: the Alexandria database
Functional: SCAN
Structure: single point on PBEsol structure

Cell and atoms, written as extended XYZ:
```
21
Lattice="5.318 0.000 0.000 -2.659 4.606 0.000 0.000 0.000 9.538" Properties=species:S:1:pos:R:3 pbc="T T T"
Na 0.000 0.000 1.792
Na 0.000 0.000 7.746
Na 0.000 3.071 5.749
Na 2.659 1.535 3.788
Ti 0.000 0.000 4.769
Ti 0.000 3.071 2.694
Ti 0.000 3.071 9.278
Ti 2.659 1.535 0.259
Ti 2.659 1.535 6.844
O -1.064 1.992 1.169
O -1.512 3.535 3.612
O 0.353 1.528 3.612
O 1.500 0.458 5.925
O -0.401 4.531 1.169
O 1.193 1.918 8.368
O 1.466 2.688 1.169
O 3.061 0.074 8.368
O 1.159 4.148 3.612
O 2.306 3.077 5.925
O 4.171 1.070 5.925
O 3.724 2.613 8.368
```

Properties
**Theoretical density**: 3.72 g cm⁻³
**Crystal system**: trigonal

three:
Compound: Na4Ti5O12
Source: the Alexandria database
Functional: SCAN
Structure: single point on PBEsol structure

Cell and atoms, written as extended XYZ:
```
42
Lattice="4.296 -4.350 0.000 4.296 4.350 0.000 -3.574 0.000 13.436" Properties=species:S:1:pos:R:3 pbc="T T T"
Na 0.000 0.000 0.000
Na -1.787 0.000 6.718
Na 1.616 3.412 10.077
Na -0.529 1.191 12.365
Na 1.258 -1.191 5.647
Na 3.761 1.191 7.790
Na 5.547 -1.191 1.072
Na 3.403 -3.412 3.359
Ti 0.361 2.175 6.718
Ti 2.283 2.029 4.520
Ti 0.550 0.110 8.956
Ti 2.337 -0.110 2.237
Ti 4.522 2.029 2.199
Ti 2.148 -2.175 0.000
Ti 0.496 -2.029 11.238
Ti 2.681 0.110 11.199
Ti 4.468 -0.110 4.481
Ti 2.735 -2.029 8.917
O 0.386 2.301 8.696
O -1.351 0.497 9.162
O 2.465 1.779 2.390
O 0.436 -0.497 2.444
O 2.301 2.126 6.364
O 0.416 0.265 7.096
O 4.505 2.126 0.354
O 2.202 -0.265 0.378
O 0.733 0.052 10.993
O 2.845 2.301 11.458
O 2.519 -0.052 4.275
O 4.341 1.779 4.329
O 0.678 -1.779 9.108
O 2.499 0.052 9.161
O 2.173 -2.301 1.978
O 4.286 -0.052 2.443
O 2.816 0.265 13.058
O 0.514 -2.126 13.083
O 4.603 -0.265 6.340
O 2.718 -2.126 7.072
O 4.582 0.497 10.993
O 2.554 -1.779 11.047
O 6.369 -0.497 4.275
O 4.632 -2.301 4.740
```

Properties
**Theoretical density**: 3.46 g cm⁻³
**Crystal system**: monoclinic

Least stable: three

one:
Compound: NaTlO
Source: the Alexandria database
Functional: SCAN
Structure: single point on PBEsol structure

Cell and atoms, written as extended XYZ:
```
12
Lattice="6.066 0.000 0.000 0.000 3.514 0.000 -2.013 0.000 11.143" Properties=species:S:1:pos:R:3 pbc="T T T"
Na 0.000 0.000 0.000
Na -0.569 1.757 7.735
Na 1.396 1.757 5.552
Na 2.274 0.000 7.750
Tl 1.993 0.000 2.386
Tl 1.183 1.757 10.685
Tl 4.378 0.000 5.452
Tl 5.128 1.757 2.617
O 1.246 1.757 0.730
O 0.295 0.000 6.616
O 4.004 0.000 1.042
O 3.427 1.757 6.829
```

Properties
**Theoretical density**: 6.81 g cm⁻³
**Crystal system**: monoclinic

two:
Compound: NaTlO
Source: the Alexandria database
Functional: SCAN
Structure: single point on PBEsol structure

Cell and atoms, written as extended XYZ:
```
6
Lattice="3.464 0.000 0.000 -1.732 3.000 0.000 0.000 0.000 11.405" Properties=species:S:1:pos:R:3 pbc="T T T"
Na 0.000 2.000 0.000
Na 1.732 1.000 5.703
Tl 0.000 2.000 3.158
Tl 1.732 1.000 8.861
O 0.000 0.000 4.575
O 0.000 0.000 10.278
```

Properties
**Theoretical density**: 6.82 g cm⁻³
**Crystal system**: hexagonal

Least stable: one

one:
Compound: NaTmO2
Source: the Alexandria database
Functional: SCAN
Structure: single point on PBEsol structure

Cell and atoms, written as extended XYZ:
```
8
Lattice="-2.256 2.256 5.019 2.256 -2.256 5.019 2.256 2.256 -5.019" Properties=species:S:1:pos:R:3 pbc="T T T"
Na 2.256 1.128 1.255
Na 0.000 1.128 3.764
Tm 2.256 -1.128 3.764
Tm 0.000 3.383 1.255
O 2.256 1.128 -1.538
O 0.000 1.128 0.971
O 2.256 1.128 4.048
O 0.000 1.128 6.557
```

Properties
**Theoretical density**: 7.28 g cm⁻³
**Crystal system**: tetragonal

two:
Compound: NaTmO2
Source: the Alexandria database
Functional: SCAN
Structure: single point on PBEsol structure

Cell and atoms, written as extended XYZ:
```
4
Lattice="1.663 0.960 5.483 -1.663 0.960 5.483 0.000 -1.920 5.483" Properties=species:S:1:pos:R:3 pbc="T T T"
Na 0.000 0.000 0.000
Tm 0.000 0.000 8.225
O 0.000 0.000 3.888
O 0.000 0.000 12.562
```

Properties
**Theoretical density**: 7.08 g cm⁻³
**Crystal system**: trigonal

Least stable: one